Record 1
Here is crystalline Li4Al2ZnCd at its relaxed geometry from the Open Quantum Materials Database. Energies are from PBE-GGA.

```
Li4Al2ZnCd
1.0
4.408 0.000 0.000
0.000 4.408 0.000
0.000 0.000 6.289
Li Al Zn Cd
4 2 1 1
Direct
0.000 0.000 0.000
0.000 0.500 0.737
0.500 0.000 0.263
0.500 0.500 0.500
0.000 0.500 0.266
0.500 0.000 0.734
0.000 0.000 0.500
0.500 0.500 0.000
```

Results
Crystal system: tetragonal
Energy, eV per atom: -2.38



Record 2
Here is crystalline LiAlZnCd at its relaxed geometry from the Open Quantum Materials Database. Energies are from PBE-GGA.

```
LiAlZnCd
1.0
0.000 3.250 3.250
3.250 0.000 3.250
3.250 3.250 0.000
Li Al Zn Cd
1 1 1 1
Direct
0.000 0.000 0.000
0.750 0.750 0.750
0.250 0.250 0.250
0.500 0.500 0.500
```

Results
Crystal system: cubic
Energy, eV per atom: -1.99



Record 3
Here is crystalline Lu4AlCdN2 at its relaxed geometry from the Open Quantum Materials Database. Energies are from PBE-GGA.

```
Lu4AlCdN2
1.0
3.388 0.000 0.000
-1.694 2.934 0.000
0.000 0.000 15.239
Lu Al Cd N
4 1 1 2
Direct
0.000 0.000 0.159
0.000 0.000 0.841
0.333 0.667 0.332
0.333 0.667 0.668
0.333 0.667 0.000
0.000 0.000 0.500
0.667 0.333 0.246
0.667 0.333 0.754
```

Results
Crystal system: hexagonal
Energy, eV per atom: -5.91



Record 4
Here is crystalline LuAlCdNi at its relaxed geometry from the Open Quantum Materials Database. Energies are from PBE-GGA.

```
LuAlCdNi
1.0
0.000 3.297 3.297
3.297 0.000 3.297
3.297 3.297 0.000
Lu Al Cd Ni
1 1 1 1
Direct
0.000 0.000 0.000
0.250 0.250 0.250
0.750 0.750 0.750
0.500 0.500 0.500
```

Results
Crystal system: cubic
Energy, eV per atom: -3.84



Record 5
Here is crystalline LuAlCdTe3 at its relaxed geometry from the Open Quantum Materials Database. Energies are from PBE-GGA.

```
LuAlCdTe3
1.0
11.534 0.000 0.000
0.000 4.185 0.000
0.000 0.000 16.834
Lu Al Cd Te
4 4 4 12
Direct
0.015 0.250 0.248
0.485 0.750 0.748
0.515 0.250 0.252
0.985 0.750 0.752
0.234 0.250 0.707
0.266 0.750 0.207
0.734 0.250 0.793
0.766 0.750 0.293
0.226 0.750 0.492
0.274 0.250 0.992
0.726 0.750 0.008
0.774 0.250 0.508
0.040 0.250 0.627
0.075 0.750 0.124
0.236 0.750 0.814
0.264 0.250 0.314
0.425 0.250 0.624
0.460 0.750 0.127
0.540 0.250 0.873
0.575 0.750 0.376
0.736 0.750 0.686
0.764 0.250 0.186
0.925 0.250 0.876
0.960 0.750 0.373
```

Results
Crystal system: orthorhombic
Energy, eV per atom: -3.75



Record 6
Here is crystalline LuAlCdTe3 at its relaxed geometry from the Open Quantum Materials Database. Energies are from PBE-GGA.

```
LuAlCdTe3
1.0
2.092 -8.263 0.000
2.092 8.263 0.000
0.000 0.000 11.488
Lu Al Cd Te
2 2 2 6
Direct
0.000 0.000 0.000
0.000 0.000 0.500
0.455 0.545 0.750
0.545 0.455 0.250
0.259 0.741 0.250
0.741 0.259 0.750
0.064 0.936 0.750
0.373 0.627 0.556
0.373 0.627 0.944
0.627 0.373 0.056
0.627 0.373 0.444
0.936 0.064 0.250
```

Results
Crystal system: orthorhombic
Energy, eV per atom: -3.75



What is the formula in the fourth record? LuAlCdNi



Copy entry 3 word for word.
Here is crystalline Lu4AlCdN2 at its relaxed geometry from the Open Quantum Materials Database. Energies are from PBE-GGA.

```
Lu4AlCdN2
1.0
3.388 0.000 0.000
-1.694 2.934 0.000
0.000 0.000 15.239
Lu Al Cd N
4 1 1 2
Direct
0.000 0.000 0.159
0.000 0.000 0.841
0.333 0.667 0.332
0.333 0.667 0.668
0.333 0.667 0.000
0.000 0.000 0.500
0.667 0.333 0.246
0.667 0.333 0.754
```

Results
Crystal system: hexagonal
Energy, eV per atom: -5.91